# 1
Below is a relaxed structure of MnGaReRu, with properties calculated at the GGA-PBE level.

Results
Formation energy from the elements (eV per atom): -0.05
E (eV/atom): -8.5267
Space-group type: F-43m, No. 216
Crystal system: cubic
M_tot (μB/f.u.): 2.08

The structure in POSCAR format:
```
MnGaReRu
1.0
-1.3628 -4.0386 0.2293
2.7651 -3.2161 -0.4808
1.0592 -2.4229 3.3508
Re Mn Ga Ru
1 1 1 1
direct
0.2500 0.2500 0.2500 Re
0.5000 0.5000 0.5000 Mn
0.0000 0.0000 0.0000 Ga
0.7500 0.7500 0.7500 Ru
```

=====

# 2
Below is a relaxed structure of Mn2GaReSe, with properties calculated at the GGA-PBE level.

Results
E (eV/atom): -7.3416
Polymorph energy (0 for the lowest one) (meV per atom): 113
Space-group type: Pmm2, No. 25
Formation energy without anion corrections (eV per atom): 0.12
Crystal system: orthorhombic
M_tot (μB/f.u.): 3.81

The structure in POSCAR format:
```
Mn2GaReSe
1.0
2.8316 0.0000 0.0303
0.0000 3.7029 0.0000
-0.0798 0.0000 7.3758
Re Mn Se Ga
1 2 1 1
direct
0.2523 0.0000 0.3489 Re
0.2522 0.0000 0.0022 Mn
0.7525 0.5000 0.5002 Mn
0.7520 0.0000 0.7224 Se
0.7521 0.5000 0.1489 Ga
```